DFT (PBE-GGA) results for an optimized crystal structure of Ca2ZnSe.

Values from the calculation:
E above lowest polymorph	0.078	eV/atom

Cell lengths 7.775, 7.775, 7.775 Å; angles 151.57, 149.40, 42.26 degrees
Sites, in units of the cell vectors:
Ca1 0.000 0.000 0.000
Ca2 0.735 0.235 0.500
Zn1 0.407 0.407 0.000
Se1 0.162 0.662 0.500

DFT (PBE-GGA) results for an optimized crystal structure of Li2ZnCr.

Values from the calculation:
E above lowest polymorph	0.037	eV/atom
DFT formation energy	228.5	meV per atom

Cell lengths 2.478, 2.478, 9.314 Å; angles 90.00, 90.00, 111.06 degrees
Sites, in units of the cell vectors:
Li1 0.000 0.000 0.247
Li2 0.000 0.000 0.753
Zn1 0.500 0.500 0.500
Cr1 0.500 0.500 0.000

DFT (PBE-GGA) results for an optimized crystal structure of AgTe3Pb.

Values from the calculation:
E above lowest polymorph	0.000	eV/atom

Cell lengths 5.458, 5.458, 5.458 Å; angles 90.00, 90.00, 90.00 degrees
Sites, in units of the cell vectors:
Ag1 0.000 0.000 0.000
Te1 0.000 0.000 0.500
Te2 0.000 0.500 0.000
Te3 0.500 0.000 0.000
Pb1 0.500 0.500 0.500

DFT (PBE-GGA) results for an optimized crystal structure of GdThMg2.

Values from the calculation:
E above lowest polymorph	0.000	eV/atom
DFT formation energy	-5.8	meV per atom

Cell lengths 3.787, 3.787, 7.823 Å; angles 90.00, 90.00, 90.00 degrees
Sites, in units of the cell vectors:
Gd1 0.000 0.000 0.000
Th1 0.000 0.000 0.500
Mg1 0.500 0.500 0.243
Mg2 0.500 0.500 0.757

DFT (PBE-GGA) results for an optimized crystal structure of BC2.

Values from the calculation:
E above lowest polymorph	0.088	eV/atom
DFT formation energy	327.7	meV per atom

Cell lengths 2.638, 2.638, 15.567 Å; angles 90.00, 90.00, 120.00 degrees
Sites, in units of the cell vectors:
B1 0.000 0.000 0.000
B2 0.000 0.000 0.201
B3 0.333 0.667 0.457
B4 0.667 0.333 0.575
C1 0.000 0.000 0.617
C2 0.000 0.000 0.714
C3 0.333 0.667 0.200
C4 0.333 0.667 0.748
C5 0.333 0.667 0.847
C6 0.667 0.333 0.468
C7 0.667 0.333 0.880
C8 0.667 0.333 0.984

DFT (PBE-GGA) results for an optimized crystal structure of Dy2InSi2Pd5.

Values from the calculation:
uncorrected energy	-5.62	eV per atom

Cell lengths 10.073, 10.073, 3.576 Å; angles 90.00, 90.00, 90.00 degrees
Sites, in units of the cell vectors:
Dy1 0.177 0.323 0.000
Dy2 0.323 0.823 0.000
Dy3 0.677 0.177 0.000
Dy4 0.823 0.677 0.000
In1 0.000 0.000 0.000
In2 0.500 0.500 0.000
Si1 0.122 0.622 0.000
Si2 0.378 0.122 0.000
Si3 0.622 0.878 0.000
Si4 0.878 0.378 0.000
Pd1 0.000 0.500 0.500
Pd2 0.059 0.783 0.500
Pd3 0.217 0.059 0.500
Pd4 0.283 0.559 0.500
Pd5 0.441 0.283 0.500
Pd6 0.500 0.000 0.500
Pd7 0.559 0.717 0.500
Pd8 0.717 0.441 0.500
Pd9 0.783 0.941 0.500
Pd10 0.941 0.217 0.500

| no. | M_tot (μB/f.u.) |
| --- | --- |
| 1 | 0.00 |
| 2 | 0.00 |
| 3 | 0.00 |
| 4 | 7.40 |
| 5 | 0.05 |
| 6 | 0.00 |